Model i:
HoPu2Ge: optimized geometry, PBE-GGA.

Unit cell a=4.3795 b=4.3795 c=4.9708 alpha=90.00 beta=90.00 gamma=90.00
Fractional coordinates of all 4 atoms:
Ho 0.0000 0.0000 0.0000
Pu 0.0000 0.5000 0.5000
Pu 0.5000 0.0000 0.5000
Ge 0.5000 0.5000 0.0000

Model ii:
HoPu2Ge: optimized geometry, PBE-GGA.

Unit cell a=3.4655 b=3.4655 c=31.1402 alpha=90.00 beta=90.00 gamma=120.00
Fractional coordinates of all 12 atoms:
Ho 0.0000 0.0000 0.0000
Ho 0.3333 0.6667 0.6667
Ho 0.6667 0.3333 0.3333
Pu 0.0000 0.0000 0.2378
Pu 0.0000 0.0000 0.7622
Pu 0.3333 0.6667 0.4288
Pu 0.3333 0.6667 0.9045
Pu 0.6667 0.3333 0.0955
Pu 0.6667 0.3333 0.5712
Ge 0.0000 0.0000 0.5000
Ge 0.3333 0.6667 0.1667
Ge 0.6667 0.3333 0.8333

Most favorable structure: model i. The second most favorable one is 326 meV per atom above it.

Model i:
Ho2PuGe: optimized geometry, PBE-GGA.

Unit cell a=3.5628 b=3.5628 c=29.8731 alpha=90.00 beta=90.00 gamma=120.00
Fractional coordinates of all 12 atoms:
Ho 0.0000 0.0000 0.2367
Ho 0.0000 0.0000 0.7633
Ho 0.3333 0.6667 0.4299
Ho 0.3333 0.6667 0.9034
Ho 0.6667 0.3333 0.0966
Ho 0.6667 0.3333 0.5701
Pu 0.0000 0.0000 0.0000
Pu 0.3333 0.6667 0.6667
Pu 0.6667 0.3333 0.3333
Ge 0.0000 0.0000 0.5000
Ge 0.3333 0.6667 0.1667
Ge 0.6667 0.3333 0.8333

Model ii:
Ho2PuGe: optimized geometry, PBE-GGA.

Unit cell a=4.7052 b=4.7052 c=4.4413 alpha=90.00 beta=90.00 gamma=90.00
Fractional coordinates of all 4 atoms:
Ho 0.0000 0.5000 0.0000
Ho 0.5000 0.0000 0.0000
Pu 0.0000 0.0000 0.5000
Ge 0.5000 0.5000 0.5000

Most favorable structure: model ii. The second most favorable one is 111 meV per atom above it.

Model i:
Ho3Ge3Rh: optimized geometry, PBE-GGA.

Unit cell a=8.3779 b=8.3779 c=5.6765 alpha=90.00 beta=90.00 gamma=120.00
Fractional coordinates of all 14 atoms:
Ho 0.0866 0.4013 0.2500
Ho 0.3147 0.9134 0.2500
Ho 0.4013 0.3147 0.7500
Ho 0.5987 0.6853 0.2500
Ho 0.6853 0.0866 0.7500
Ho 0.9134 0.5987 0.7500
Ge 0.0763 0.3524 0.7500
Ge 0.2761 0.9237 0.7500
Ge 0.3524 0.2761 0.2500
Ge 0.6476 0.7239 0.7500
Ge 0.7239 0.0763 0.2500
Ge 0.9237 0.6476 0.2500
Rh 0.3333 0.6667 0.7500
Rh 0.6667 0.3333 0.2500

Model ii:
Ho3Ge3Rh: optimized geometry, PBE-GGA.

Unit cell a=5.7080 b=5.7080 c=13.8886 alpha=108.30 beta=108.30 gamma=43.86
Fractional coordinates of all 14 atoms:
Ho 0.0282 0.0282 0.3790
Ho 0.1017 0.1017 0.9221
Ho 0.2418 0.2418 0.2316
Ho 0.7582 0.7582 0.7684
Ho 0.8983 0.8983 0.0779
Ho 0.9718 0.9718 0.6210
Ge 0.3654 0.3654 0.4587
Ge 0.3789 0.3789 0.9252
Ge 0.4674 0.4674 0.7672
Ge 0.5326 0.5326 0.2328
Ge 0.6211 0.6211 0.0748
Ge 0.6346 0.6346 0.5413
Rh 0.2539 0.2539 0.6049
Rh 0.7461 0.7461 0.3951

Most favorable structure: model ii. The second most favorable one is 403 meV per atom above it.

Model i:
Ho2Ge5Rh3: optimized geometry, PBE-GGA.

Unit cell a=8.3347 b=8.3347 c=5.8732 alpha=108.69 beta=108.69 gamma=94.28
Fractional coordinates of all 20 atoms:
Ho 0.0916 0.3703 0.2370
Ho 0.3703 0.0916 0.7370
Ho 0.6297 0.9084 0.2630
Ho 0.9084 0.6297 0.7630
Ge 0.0134 0.9866 0.7500
Ge 0.2351 0.4242 0.8305
Ge 0.2780 0.7220 0.7500
Ge 0.2931 0.7069 0.2500
Ge 0.4242 0.2351 0.3305
Ge 0.5758 0.7649 0.6695
Ge 0.7069 0.2931 0.7500
Ge 0.7220 0.2780 0.2500
Ge 0.7649 0.5758 0.1695
Ge 0.9866 0.0134 0.2500
Rh 0.0455 0.7612 0.3742
Rh 0.2388 0.9545 0.1258
Rh 0.4979 0.5021 0.2500
Rh 0.5021 0.4979 0.7500
Rh 0.7612 0.0455 0.8742
Rh 0.9545 0.2388 0.6258

Model ii:
Ho2Ge5Rh3: optimized geometry, PBE-GGA.

Unit cell a=12.4979 b=12.4979 c=6.8250 alpha=90.00 beta=90.00 gamma=160.56
Fractional coordinates of all 20 atoms:
Ho 0.0210 0.9790 0.5000
Ho 0.3246 0.6754 0.4967
Ho 0.6754 0.3246 0.9967
Ho 0.9790 0.0210 0.0000
Ge 0.0997 0.9003 0.8620
Ge 0.2066 0.7934 0.2924
Ge 0.2084 0.7916 0.7166
Ge 0.3824 0.6176 0.9764
Ge 0.4524 0.5476 0.6653
Ge 0.5476 0.4524 0.1653
Ge 0.6176 0.3824 0.4764
Ge 0.7916 0.2084 0.2166
Ge 0.7934 0.2066 0.7924
Ge 0.9003 0.0997 0.3620
Rh 0.1066 0.8934 0.2308
Rh 0.2792 0.7208 0.0049
Rh 0.4460 0.5540 0.2817
Rh 0.5540 0.4460 0.7817
Rh 0.7208 0.2792 0.5049
Rh 0.8934 0.1066 0.7308

Most favorable structure: model i. The second most favorable one is 22 meV per atom above it.

Model i:
HoGe3Rh3: optimized geometry, PBE-GGA.

Unit cell a=6.6765 b=6.6765 c=6.6765 alpha=90.00 beta=90.00 gamma=90.00
Fractional coordinates of all 14 atoms:
Ho 0.0000 0.0000 0.0000
Ho 0.5000 0.5000 0.5000
Ge 0.0000 0.2500 0.5000
Ge 0.0000 0.7500 0.5000
Ge 0.2500 0.5000 0.0000
Ge 0.5000 0.0000 0.2500
Ge 0.5000 0.0000 0.7500
Ge 0.7500 0.5000 0.0000
Rh 0.0000 0.5000 0.2500
Rh 0.0000 0.5000 0.7500
Rh 0.2500 0.0000 0.5000
Rh 0.5000 0.2500 0.0000
Rh 0.5000 0.7500 0.0000
Rh 0.7500 0.0000 0.5000

Model ii:
HoGe3Rh3: optimized geometry, PBE-GGA.

Unit cell a=7.5997 b=7.5997 c=7.5997 alpha=53.95 beta=53.95 gamma=53.95
Fractional coordinates of all 14 atoms:
Ho 0.1687 0.1687 0.1687
Ho 0.8313 0.8313 0.8313
Ge 0.1506 0.3847 0.7002
Ge 0.2998 0.8494 0.6153
Ge 0.3847 0.7002 0.1506
Ge 0.6153 0.2998 0.8494
Ge 0.7002 0.1506 0.3847
Ge 0.8494 0.6153 0.2998
Rh 0.0110 0.2574 0.5808
Rh 0.2574 0.5808 0.0110
Rh 0.4192 0.9890 0.7426
Rh 0.5808 0.0110 0.2574
Rh 0.7426 0.4192 0.9890
Rh 0.9890 0.7426 0.4192

Most favorable structure: model ii. The second most favorable one is 320 meV per atom above it.

Model i:
HoGe2Ru4: optimized geometry, PBE-GGA.

Unit cell a=4.0180 b=14.3718 c=3.9815 alpha=90.00 beta=90.00 gamma=90.00
Fractional coordinates of all 14 atoms:
Ho 0.0000 0.0000 0.0000
Ho 0.5000 0.5000 0.0000
Ge 0.0000 0.4144 0.5000
Ge 0.0000 0.5856 0.5000
Ge 0.5000 0.0856 0.5000
Ge 0.5000 0.9144 0.5000
Ru 0.0000 0.1894 0.5000
Ru 0.0000 0.3088 0.0000
Ru 0.0000 0.6912 0.0000
Ru 0.0000 0.8106 0.5000
Ru 0.5000 0.1912 0.0000
Ru 0.5000 0.3106 0.5000
Ru 0.5000 0.6894 0.5000
Ru 0.5000 0.8088 0.0000

Model ii:
HoGe2Ru4: optimized geometry, PBE-GGA.

Unit cell a=7.6041 b=7.6041 c=3.9506 alpha=90.00 beta=90.00 gamma=90.00
Fractional coordinates of all 14 atoms:
Ho 0.0000 0.0000 0.0000
Ho 0.5000 0.5000 0.5000
Ge 0.2152 0.2152 0.5000
Ge 0.2848 0.7152 0.0000
Ge 0.7152 0.2848 0.0000
Ge 0.7848 0.7848 0.5000
Ru 0.0816 0.6539 0.5000
Ru 0.1539 0.4184 0.0000
Ru 0.3461 0.9184 0.5000
Ru 0.4184 0.1539 0.0000
Ru 0.5816 0.8461 0.0000
Ru 0.6539 0.0816 0.5000
Ru 0.8461 0.5816 0.0000
Ru 0.9184 0.3461 0.5000

Most favorable structure: model ii. The second most favorable one is 9 meV per atom above it.